Here is a geometry-optimized LiTmBi2 structure from Alexandria. Energies are from PBE-GGA.

The crystal system is tetragonal. Its energy relative to the lowest polymorph listed for this composition is 0.000 eV/atom. As for the formation energy from the elements: -2.2 eV/f.u.

It has space group P4/nmm (No. 129, origin choice 2), with a = 4.482 Å, b = 4.482 Å, c = 10.364 Å, α = 90.00°, β = 90.00° and γ = 90.00°. Symmetry generates all atoms from Li at (0.250, 0.750, 0.000), Tm at (0.250, 0.250, 0.261), Bi at (0.250, 0.250, 0.827) and Bi at (0.250, 0.750, 0.500).